# 1
## Er2Al3Zn2 (PBE-GGA)

Data for a geometry-optimized Er2Al3Zn2 structure.

Cell and atoms, written as POSCAR:
```
Er2Al3Zn2
1.0
-0.507 0.376 -3.319
-0.501 -4.241 -0.404
-9.265 3.096 1.766
Er Al Zn
2 3 2
Cartesian
-6.794 -1.450 0.874
-2.973 0.305 0.489
-8.428 1.026 -0.316
0.000 0.000 0.000
-1.846 -1.795 -1.641
-5.696 0.746 -0.765
-4.578 -1.515 -1.192
```

Output
E = -24.6 eV/cell
crystal system = orthorhombic
energy above the most stable polymorph in this dataset = 0.143 eV per atom

=====

# 2
## Ce4CoTe2 (PBE-GGA)

Data for a geometry-optimized Ce4CoTe2 structure.

Cell and atoms, written as POSCAR:
```
Ce4CoTe2
1.0
4.129 0.000 0.000
0.000 7.018 0.066
-2.065 -3.362 7.290
Ce Co Te
4 1 2
Cartesian
2.065 -1.228 5.821
0.000 4.884 1.534
0.000 2.533 5.784
2.065 1.123 1.572
0.000 0.000 0.000
0.000 0.060 3.786
2.065 3.596 3.570
```

Output
ΔE_f (raw) = -4.4 eV per formula unit
E = -41.6 eV/cell
crystal system = monoclinic

=====

# 3
## CeY5 (PBE-GGA)

Data for a geometry-optimized CeY5 structure.

Cell and atoms, written as POSCAR:
```
CeY5
1.0
-2.928 -1.760 -3.715
-1.926 -3.456 3.155
-4.486 6.585 0.416
Y Ce
5 1
Cartesian
-2.427 -2.608 -0.280
-6.087 0.654 1.058
-2.777 -0.111 2.241
-3.254 0.715 -1.203
-3.635 3.240 1.330
0.000 0.000 0.000
```

Output
E = -37.9 eV/cell
crystal system = orthorhombic